Density functional theory data (SCAN) for a crystal of Li2ZnNi relaxed with PBEsol.

Computed properties:
E_form (eV per formula unit): 0.016
Electronic total energy (eV per atom): -8.61
Space-group type: P4/mmm (123)

POSCAR file:
```
Li2ZnNi
1.0
-1.004 -1.422 1.810
2.122 0.193 1.328
-2.833 6.549 3.575
Ni Li Zn
1 2 1
direct
0.500 0.500 0.000 Ni
0.000 0.000 0.228 Li
0.000 0.000 0.772 Li
0.500 0.500 0.500 Zn
```

Density functional theory data (SCAN) for a crystal of La3InRu relaxed with PBEsol.

Computed properties:
E_form (eV per formula unit): -2.686
Electronic total energy (eV per atom): -40.04
Space-group type: P6_3/mmc (194)
Relative energy among the computed polymorphs (eV/atom): 0.0000

POSCAR file:
```
La3InRu
1.0
5.862 0.000 0.000
0.000 7.483 0.000
0.000 -3.742 6.481
Ru La In
2 6 2
direct
0.000 0.000 0.000 Ru
0.500 0.000 0.000 Ru
0.250 0.818 0.637 La
0.250 0.818 0.182 La
0.750 0.182 0.818 La
0.750 0.182 0.363 La
0.250 0.363 0.182 La
0.750 0.637 0.818 La
0.250 0.333 0.667 In
0.750 0.667 0.333 In
```

Density functional theory data (SCAN) for a crystal of CsPbI3 relaxed with PBEsol.

Computed properties:
E_form (uncorrected) (meV per atom): -1068
Electronic total energy (eV per atom): -45.83
Space-group type: Pm-3m (221)

POSCAR file:
```
CsPbI3
1.0
-2.501 -2.885 4.924
4.463 -4.339 -0.276
3.557 3.416 3.808
Pb I Cs
1 3 1
direct
0.000 0.000 0.000 Pb
0.500 0.000 0.000 I
0.000 0.500 0.000 I
0.000 0.000 0.500 I
0.500 0.500 0.500 Cs
```

Density functional theory data (SCAN) for a crystal of YSbP2 relaxed with PBEsol.

Computed properties:
E_form (uncorrected) (meV per atom): -763
Electronic total energy (eV per atom): -22.24
Space-group type: Cm (8)

POSCAR file:
```
YSbP2
1.0
-1.860 -3.290 -0.443
1.356 -0.246 -3.863
5.270 -1.051 2.013
P Sb Y
2 1 1
direct
0.011 0.901 0.022 P
0.268 0.371 0.535 P
0.496 0.360 0.992 Sb
0.726 0.868 0.451 Y
```

Density functional theory data (SCAN) for a crystal of TlFeP2 relaxed with PBEsol.

Computed properties:
E_form (eV per formula unit): 3.309
Electronic total energy (eV per atom): -26.99
Space-group type: Pmmm (47)
Relative energy among the computed polymorphs (eV/atom): 0.7103

POSCAR file:
```
TlFeP2
1.0
3.349 0.000 0.000
0.000 3.991 0.000
0.000 0.000 4.907
P Fe Tl
2 1 1
direct
0.500 0.500 0.000 P
0.000 0.000 0.000 P
0.000 0.500 0.500 Fe
0.500 0.000 0.500 Tl
```

Density functional theory data (SCAN) for a crystal of In2Hg relaxed with PBEsol.

Computed properties:
E_form (eV per formula unit): 0.263
Electronic total energy (eV per atom): -44.89
Space-group type: Fd-3m (227)
Relative energy among the computed polymorphs (eV/atom): 0.0906

POSCAR file:
```
In2Hg
1.0
-4.656 -7.603 3.308
4.002 -8.612 -0.492
2.978 -4.319 7.931
In Hg
16 8
direct
0.316 0.684 0.316 In
0.566 0.566 0.934 In
0.125 0.625 0.125 In
0.684 0.316 0.684 In
0.316 0.316 0.684 In
0.934 0.566 0.934 In
0.684 0.684 0.316 In
0.125 0.125 0.625 In
0.684 0.316 0.316 In
0.934 0.934 0.566 In
0.934 0.566 0.566 In
0.566 0.934 0.566 In
0.316 0.684 0.684 In
0.625 0.125 0.125 In
0.125 0.125 0.125 In
0.566 0.934 0.934 In
0.341 0.341 0.976 Hg
0.341 0.341 0.341 Hg
0.909 0.274 0.909 Hg
0.341 0.976 0.341 Hg
0.909 0.909 0.909 Hg
0.274 0.909 0.909 Hg
0.909 0.909 0.274 Hg
0.976 0.341 0.341 Hg
```

> electronic total energy of number 6 (In2Hg)?

-44.89 eV per atom

> What is the electronic total energy in the third record?

-45.83 eV per atom

> Among the records above, which one has the highest electronic total energy?

Li2ZnNi

> Which of these has the lowest electronic total energy?

CsPbI3